Record 1
{
  "formula": "Sc2AlTc",
  "functional": "SCAN",
  "state": "single point on PBEsol structure",
  "m_tot_mub_per_cell": 0.0,
  "delta_e_f_mev_per_atom": -324,
  "total_energy_ev_per_atom": -18.15,
  "cell": [[-1.3204, 0.1323, -3.1341], [0.0831, -4.5211, -0.2259], [-3.6407, 2.0233, 3.4672]],
  "species": ["Tc", "Al", "Sc", "Sc"],
  "fractional_positions": [[0.5128, 0.5126, 0.0256], [0.2238, 0.7239, 0.4475], [0.9940, 0.9938, 0.9881], [0.7694, 0.2696, 0.5388]]
}

Record 2
{
  "formula": "Sc2AlTc",
  "functional": "SCAN",
  "state": "single point on PBEsol structure",
  "m_tot_mub_per_cell": 0.0,
  "delta_e_f_mev_per_atom": -419,
  "total_energy_ev_per_atom": -18.24,
  "cell": [[-0.0638, 1.9567, -2.6816], [0.9864, -2.5497, -1.8840], [-6.1362, -1.6124, -1.0305]],
  "species": ["Sc", "Sc", "Al", "Tc"],
  "fractional_positions": [[0.0000, 0.0000, 0.4777], [0.0000, 0.0000, 0.0223], [0.5000, 0.5000, 0.7500], [0.5000, 0.5000, 0.2500]]
}

Number 1: N(E_F) 0.64 states/eV/atom, polymorph energy (0 for the lowest one) 100.5 meV/atom. Number 2: N(E_F) 0.76 states/eV/atom, polymorph energy (0 for the lowest one) 5.6 meV/atom.